# GGA-PBE DySnPO, optimized geometry
data_DySnPO
_chemical_formula_sum 'Dy2 Sn2 P2 O2'
_space_group_name_H-M_alt 'P m c 21'
_space_group_IT_number 26
_cell_length_a 3.960
_cell_length_b 8.224
_cell_length_c 5.948
_cell_angle_alpha 90.00
_cell_angle_beta 90.00
_cell_angle_gamma 90.00
loop_
_space_group_symop_operation_xyz
'x,y,z'
'-x,-y,z+1/2'
'-x,y,z'
'x,-y,z+1/2'
loop_
_atom_site_label
_atom_site_type_symbol
_atom_site_fract_x
_atom_site_fract_y
_atom_site_fract_z
Dy1 Dy 0.000 0.158 0.000
Sn1 Sn 0.500 0.367 0.592
P1 P 0.000 0.176 0.475
O1 O 0.500 0.241 0.923
# ΔE to the lowest computed polymorph	0	meV per atom
# spin magnetization	0.003	μB per formula unit

# GGA-PBE DySnPO, optimized geometry
data_DySnPO
_chemical_formula_sum 'Dy2 Sn2 P2 O2'
_space_group_name_H-M_alt 'P 4/n m m'
_space_group_IT_number 129
_cell_length_a 5.413
_cell_length_b 5.413
_cell_length_c 5.183
_cell_angle_alpha 90.00
_cell_angle_beta 90.00
_cell_angle_gamma 90.00
loop_
_space_group_symop_operation_xyz
'x,y,z'
'-x,-y,-z'
'-y+1/2,x,z'
'y+1/2,-x,-z'
'-x+1/2,-y+1/2,z'
'x+1/2,y+1/2,-z'
'y,-x+1/2,z'
'-y,x+1/2,-z'
'x+1/2,-y,-z'
'-x+1/2,y,z'
'-y,-x,-z'
'y,x,z'
'-x,y+1/2,-z'
'x,-y+1/2,z'
'y+1/2,x+1/2,-z'
'-y+1/2,-x+1/2,z'
loop_
_atom_site_label
_atom_site_type_symbol
_atom_site_fract_x
_atom_site_fract_y
_atom_site_fract_z
Dy1 Dy 0.250 0.750 0.000
Sn1 Sn 0.250 0.250 0.494
P1 P 0.250 0.250 0.992
O1 O 0.250 0.750 0.500
# ΔE to the lowest computed polymorph	309	meV per atom
# spin magnetization	0.001	μB per formula unit

# GGA-PBE DySnPO, optimized geometry
data_DySnPO
_chemical_formula_sum 'Dy2 Sn2 P2 O2'
_space_group_name_H-M_alt 'P m c 21'
_space_group_IT_number 26
_cell_length_a 4.442
_cell_length_b 6.546
_cell_length_c 6.237
_cell_angle_alpha 90.00
_cell_angle_beta 90.00
_cell_angle_gamma 90.00
loop_
_space_group_symop_operation_xyz
'x,y,z'
'-x,-y,z+1/2'
'-x,y,z'
'x,-y,z+1/2'
loop_
_atom_site_label
_atom_site_type_symbol
_atom_site_fract_x
_atom_site_fract_y
_atom_site_fract_z
Dy1 Dy 0.000 0.152 0.000
Sn1 Sn 0.500 0.294 0.368
P1 P 0.500 0.298 0.782
O1 O 0.000 0.140 0.355
# ΔE to the lowest computed polymorph	154	meV per atom
# spin magnetization	0.002	μB per formula unit

# GGA-PBE TbDyPO, optimized geometry
data_TbDyPO
_chemical_formula_sum 'Tb2 Dy2 P2 O2'
_space_group_name_H-M_alt 'P m c 21'
_space_group_IT_number 26
_cell_length_a 4.159
_cell_length_b 7.519
_cell_length_c 5.695
_cell_angle_alpha 90.00
_cell_angle_beta 90.00
_cell_angle_gamma 90.00
loop_
_space_group_symop_operation_xyz
'x,y,z'
'-x,-y,z+1/2'
'-x,y,z'
'x,-y,z+1/2'
loop_
_atom_site_label
_atom_site_type_symbol
_atom_site_fract_x
_atom_site_fract_y
_atom_site_fract_z
Tb1 Tb 0.000 0.202 0.000
Dy1 Dy 0.500 0.378 0.558
P1 P 0.000 0.162 0.496
O1 O 0.500 0.329 0.947
# ΔE to the lowest computed polymorph	0	meV per atom
# spin magnetization	0.010	μB per formula unit

# GGA-PBE TbDyPO, optimized geometry
data_TbDyPO
_chemical_formula_sum 'Tb2 Dy2 P2 O2'
_space_group_name_H-M_alt 'P 4/n m m'
_space_group_IT_number 129
_cell_length_a 4.304
_cell_length_b 4.304
_cell_length_c 8.596
_cell_angle_alpha 90.00
_cell_angle_beta 90.00
_cell_angle_gamma 90.00
loop_
_space_group_symop_operation_xyz
'x,y,z'
'-x,-y,-z'
'-y+1/2,x,z'
'y+1/2,-x,-z'
'-x+1/2,-y+1/2,z'
'x+1/2,y+1/2,-z'
'y,-x+1/2,z'
'-y,x+1/2,-z'
'x+1/2,-y,-z'
'-x+1/2,y,z'
'-y,-x,-z'
'y,x,z'
'-x,y+1/2,-z'
'x,-y+1/2,z'
'y+1/2,x+1/2,-z'
'-y+1/2,-x+1/2,z'
loop_
_atom_site_label
_atom_site_type_symbol
_atom_site_fract_x
_atom_site_fract_y
_atom_site_fract_z
Tb1 Tb 0.250 0.750 0.000
Dy1 Dy 0.250 0.250 0.399
P1 P 0.250 0.250 0.801
O1 O 0.250 0.750 0.500
# ΔE to the lowest computed polymorph	116	meV per atom
# spin magnetization	0.003	μB per formula unit

# GGA-PBE TbDyPO, optimized geometry
data_TbDyPO
_chemical_formula_sum 'Tb2 Dy2 P2 O2'
_space_group_name_H-M_alt 'P 4/n m m'
_space_group_IT_number 129
_cell_length_a 4.304
_cell_length_b 4.304
_cell_length_c 8.609
_cell_angle_alpha 90.00
_cell_angle_beta 90.00
_cell_angle_gamma 90.00
loop_
_space_group_symop_operation_xyz
'x,y,z'
'-x,-y,-z'
'-y+1/2,x,z'
'y+1/2,-x,-z'
'-x+1/2,-y+1/2,z'
'x+1/2,y+1/2,-z'
'y,-x+1/2,z'
'-y,x+1/2,-z'
'x+1/2,-y,-z'
'-x+1/2,y,z'
'-y,-x,-z'
'y,x,z'
'-x,y+1/2,-z'
'x,-y+1/2,z'
'y+1/2,x+1/2,-z'
'-y+1/2,-x+1/2,z'
loop_
_atom_site_label
_atom_site_type_symbol
_atom_site_fract_x
_atom_site_fract_y
_atom_site_fract_z
Tb1 Tb 0.250 0.250 0.104
Dy1 Dy 0.250 0.750 0.500
P1 P 0.250 0.250 0.696
O1 O 0.250 0.750 0.000
# ΔE to the lowest computed polymorph	101	meV per atom
# spin magnetization	0.005	μB per formula unit

# GGA-PBE TbDyPO, optimized geometry
data_TbDyPO
_chemical_formula_sum 'Tb2 Dy2 P2 O2'
_space_group_name_H-M_alt 'P m c 21'
_space_group_IT_number 26
_cell_length_a 4.146
_cell_length_b 7.585
_cell_length_c 5.626
_cell_angle_alpha 90.00
_cell_angle_beta 90.00
_cell_angle_gamma 90.00
loop_
_space_group_symop_operation_xyz
'x,y,z'
'-x,-y,z+1/2'
'-x,y,z'
'x,-y,z+1/2'
loop_
_atom_site_label
_atom_site_type_symbol
_atom_site_fract_x
_atom_site_fract_y
_atom_site_fract_z
Tb1 Tb 0.000 0.124 0.000
Dy1 Dy 0.500 0.298 0.450
P1 P 0.500 0.343 0.947
O1 O 0.000 0.173 0.403
# ΔE to the lowest computed polymorph	5	meV per atom
# spin magnetization	0.018	μB per formula unit

# GGA-PBE DyTcPO, optimized geometry
data_DyTcPO
_chemical_formula_sum 'Dy2 Tc2 P2 O2'
_space_group_name_H-M_alt 'P m c 21'
_space_group_IT_number 26
_cell_length_a 3.949
_cell_length_b 6.127
_cell_length_c 5.563
_cell_angle_alpha 90.00
_cell_angle_beta 90.00
_cell_angle_gamma 90.00
loop_
_space_group_symop_operation_xyz
'x,y,z'
'-x,-y,z+1/2'
'-x,y,z'
'x,-y,z+1/2'
loop_
_atom_site_label
_atom_site_type_symbol
_atom_site_fract_x
_atom_site_fract_y
_atom_site_fract_z
Dy1 Dy 0.000 0.159 0.000
Tc1 Tc 0.500 0.458 0.763
P1 P 0.000 0.322 0.524
O1 O 0.500 0.255 0.069
# ΔE to the lowest computed polymorph	670	meV per atom
# spin magnetization	0.002	μB per formula unit

# GGA-PBE DyTcPO, optimized geometry
data_DyTcPO
_chemical_formula_sum 'Dy2 Tc2 P2 O2'
_space_group_name_H-M_alt 'P 4/n m m'
_space_group_IT_number 129
_cell_length_a 3.912
_cell_length_b 3.912
_cell_length_c 8.283
_cell_angle_alpha 90.00
_cell_angle_beta 90.00
_cell_angle_gamma 90.00
loop_
_space_group_symop_operation_xyz
'x,y,z'
'-x,-y,-z'
'-y+1/2,x,z'
'y+1/2,-x,-z'
'-x+1/2,-y+1/2,z'
'x+1/2,y+1/2,-z'
'y,-x+1/2,z'
'-y,x+1/2,-z'
'x+1/2,-y,-z'
'-x+1/2,y,z'
'-y,-x,-z'
'y,x,z'
'-x,y+1/2,-z'
'x,-y+1/2,z'
'y+1/2,x+1/2,-z'
'-y+1/2,-x+1/2,z'
loop_
_atom_site_label
_atom_site_type_symbol
_atom_site_fract_x
_atom_site_fract_y
_atom_site_fract_z
Dy1 Dy 0.250 0.250 0.133
Tc1 Tc 0.250 0.750 0.500
P1 P 0.250 0.250 0.666
O1 O 0.250 0.750 0.000
# ΔE to the lowest computed polymorph	0	meV per atom
# spin magnetization	0.009	μB per formula unit

# GGA-PBE DyTcPO, optimized geometry
data_DyTcPO
_chemical_formula_sum 'Dy2 Tc2 P2 O2'
_space_group_name_H-M_alt 'P m c 21'
_space_group_IT_number 26
_cell_length_a 4.396
_cell_length_b 4.291
_cell_length_c 6.400
_cell_angle_alpha 90.00
_cell_angle_beta 90.00
_cell_angle_gamma 90.00
loop_
_space_group_symop_operation_xyz
'x,y,z'
'-x,-y,z+1/2'
'-x,y,z'
'x,-y,z+1/2'
loop_
_atom_site_label
_atom_site_type_symbol
_atom_site_fract_x
_atom_site_fract_y
_atom_site_fract_z
Dy1 Dy 0.000 0.195 0.000
Tc1 Tc 0.500 0.332 0.351
P1 P 0.500 0.170 0.696
O1 O 0.000 0.319 0.344
# ΔE to the lowest computed polymorph	436	meV per atom
# spin magnetization	0.244	μB per formula unit

# GGA-PBE DyTcPO, optimized geometry
data_DyTcPO
_chemical_formula_sum 'Dy2 Tc2 P2 O2'
_space_group_name_H-M_alt 'P 4/n m m'
_space_group_IT_number 129
_cell_length_a 4.485
_cell_length_b 4.485
_cell_length_c 7.297
_cell_angle_alpha 90.00
_cell_angle_beta 90.00
_cell_angle_gamma 90.00
loop_
_space_group_symop_operation_xyz
'x,y,z'
'-x,-y,-z'
'-y+1/2,x,z'
'y+1/2,-x,-z'
'-x+1/2,-y+1/2,z'
'x+1/2,y+1/2,-z'
'y,-x+1/2,z'
'-y,x+1/2,-z'
'x+1/2,-y,-z'
'-x+1/2,y,z'
'-y,-x,-z'
'y,x,z'
'-x,y+1/2,-z'
'x,-y+1/2,z'
'y+1/2,x+1/2,-z'
'-y+1/2,-x+1/2,z'
loop_
_atom_site_label
_atom_site_type_symbol
_atom_site_fract_x
_atom_site_fract_y
_atom_site_fract_z
Dy1 Dy 0.250 0.750 0.000
Tc1 Tc 0.250 0.250 0.474
P1 P 0.250 0.250 0.798
O1 O 0.250 0.750 0.500
# ΔE to the lowest computed polymorph	1692	meV per atom
# spin magnetization	2.885	μB per formula unit

# GGA-PBE DyTcPO, optimized geometry
data_DyTcPO
_chemical_formula_sum 'Dy2 Tc2 P2 O2'
_space_group_name_H-M_alt 'P 4/n m m'
_space_group_IT_number 129
_cell_length_a 4.229
_cell_length_b 4.229
_cell_length_c 8.663
_cell_angle_alpha 90.00
_cell_angle_beta 90.00
_cell_angle_gamma 90.00
loop_
_space_group_symop_operation_xyz
'x,y,z'
'-x,-y,-z'
'-y+1/2,x,z'
'y+1/2,-x,-z'
'-x+1/2,-y+1/2,z'
'x+1/2,y+1/2,-z'
'y,-x+1/2,z'
'-y,x+1/2,-z'
'x+1/2,-y,-z'
'-x+1/2,y,z'
'-y,-x,-z'
'y,x,z'
'-x,y+1/2,-z'
'x,-y+1/2,z'
'y+1/2,x+1/2,-z'
'-y+1/2,-x+1/2,z'
loop_
_atom_site_label
_atom_site_type_symbol
_atom_site_fract_x
_atom_site_fract_y
_atom_site_fract_z
Dy1 Dy 0.250 0.750 0.000
Tc1 Tc 0.250 0.250 0.468
P1 P 0.250 0.250 0.209
O1 O 0.250 0.750 0.500
# ΔE to the lowest computed polymorph	1679	meV per atom
# spin magnetization	0.805	μB per formula unit

# GGA-PBE DyTePO, optimized geometry
data_DyTePO
_chemical_formula_sum 'Dy2 Te2 P2 O2'
_space_group_name_H-M_alt 'P m c 21'
_space_group_IT_number 26
_cell_length_a 5.217
_cell_length_b 7.309
_cell_length_c 6.008
_cell_angle_alpha 90.00
_cell_angle_beta 90.00
_cell_angle_gamma 90.00
loop_
_space_group_symop_operation_xyz
'x,y,z'
'-x,-y,z+1/2'
'-x,y,z'
'x,-y,z+1/2'
loop_
_atom_site_label
_atom_site_type_symbol
_atom_site_fract_x
_atom_site_fract_y
_atom_site_fract_z
Dy1 Dy 0.000 0.176 0.000
Te1 Te 0.500 0.324 0.589
P1 P 0.500 0.333 0.012
O1 O 0.000 0.047 0.298
# ΔE to the lowest computed polymorph	0	meV per atom
# spin magnetization	0.004	μB per formula unit

# GGA-PBE DyTePO, optimized geometry
data_DyTePO
_chemical_formula_sum 'Dy2 Te2 P2 O2'
_space_group_name_H-M_alt 'P m c 21'
_space_group_IT_number 26
_cell_length_a 3.685
_cell_length_b 7.118
_cell_length_c 7.610
_cell_angle_alpha 90.00
_cell_angle_beta 90.00
_cell_angle_gamma 90.00
loop_
_space_group_symop_operation_xyz
'x,y,z'
'-x,-y,z+1/2'
'-x,y,z'
'x,-y,z+1/2'
loop_
_atom_site_label
_atom_site_type_symbol
_atom_site_fract_x
_atom_site_fract_y
_atom_site_fract_z
Dy1 Dy 0.000 0.218 0.000
Te1 Te 0.500 0.364 0.548
P1 P 0.000 0.436 0.317
O1 O 0.500 0.098 0.941
# ΔE to the lowest computed polymorph	2	meV per atom
# spin magnetization	0.002	μB per formula unit

# GGA-PBE DyTePO, optimized geometry
data_DyTePO
_chemical_formula_sum 'Dy2 Te2 P2 O2'
_space_group_name_H-M_alt 'P 4/n m m'
_space_group_IT_number 129
_cell_length_a 5.585
_cell_length_b 5.585
_cell_length_c 5.151
_cell_angle_alpha 90.00
_cell_angle_beta 90.00
_cell_angle_gamma 90.00
loop_
_space_group_symop_operation_xyz
'x,y,z'
'-x,-y,-z'
'-y+1/2,x,z'
'y+1/2,-x,-z'
'-x+1/2,-y+1/2,z'
'x+1/2,y+1/2,-z'
'y,-x+1/2,z'
'-y,x+1/2,-z'
'x+1/2,-y,-z'
'-x+1/2,y,z'
'-y,-x,-z'
'y,x,z'
'-x,y+1/2,-z'
'x,-y+1/2,z'
'y+1/2,x+1/2,-z'
'-y+1/2,-x+1/2,z'
loop_
_atom_site_label
_atom_site_type_symbol
_atom_site_fract_x
_atom_site_fract_y
_atom_site_fract_z
Dy1 Dy 0.250 0.750 0.000
Te1 Te 0.250 0.250 0.498
P1 P 0.250 0.250 0.996
O1 O 0.250 0.750 0.500
# ΔE to the lowest computed polymorph	450	meV per atom
# spin magnetization	0.003	μB per formula unit

# GGA-PBE DyTePO, optimized geometry
data_DyTePO
_chemical_formula_sum 'Dy2 Te2 P2 O2'
_space_group_name_H-M_alt 'P 4/n m m'
_space_group_IT_number 129
_cell_length_a 5.457
_cell_length_b 5.457
_cell_length_c 5.225
_cell_angle_alpha 90.00
_cell_angle_beta 90.00
_cell_angle_gamma 90.00
loop_
_space_group_symop_operation_xyz
'x,y,z'
'-x,-y,-z'
'-y+1/2,x,z'
'y+1/2,-x,-z'
'-x+1/2,-y+1/2,z'
'x+1/2,y+1/2,-z'
'y,-x+1/2,z'
'-y,x+1/2,-z'
'x+1/2,-y,-z'
'-x+1/2,y,z'
'-y,-x,-z'
'y,x,z'
'-x,y+1/2,-z'
'x,-y+1/2,z'
'y+1/2,x+1/2,-z'
'-y+1/2,-x+1/2,z'
loop_
_atom_site_label
_atom_site_type_symbol
_atom_site_fract_x
_atom_site_fract_y
_atom_site_fract_z
Dy1 Dy 0.250 0.750 0.000
Te1 Te 0.250 0.250 0.495
P1 P 0.250 0.250 0.990
O1 O 0.250 0.750 0.500
# ΔE to the lowest computed polymorph	470	meV per atom
# spin magnetization	0.002	μB per formula unit

# GGA-PBE DyTePO, optimized geometry
data_DyTePO
_chemical_formula_sum 'Dy2 Te2 P2 O2'
_space_group_name_H-M_alt 'P 4/n m m'
_space_group_IT_number 129
_cell_length_a 4.036
_cell_length_b 4.036
_cell_length_c 10.161
_cell_angle_alpha 90.00
_cell_angle_beta 90.00
_cell_angle_gamma 90.00
loop_
_space_group_symop_operation_xyz
'x,y,z'
'-x,-y,-z'
'-y+1/2,x,z'
'y+1/2,-x,-z'
'-x+1/2,-y+1/2,z'
'x+1/2,y+1/2,-z'
'y,-x+1/2,z'
'-y,x+1/2,-z'
'x+1/2,-y,-z'
'-x+1/2,y,z'
'-y,-x,-z'
'y,x,z'
'-x,y+1/2,-z'
'x,-y+1/2,z'
'y+1/2,x+1/2,-z'
'-y+1/2,-x+1/2,z'
loop_
_atom_site_label
_atom_site_type_symbol
_atom_site_fract_x
_atom_site_fract_y
_atom_site_fract_z
Dy1 Dy 0.250 0.250 0.103
Te1 Te 0.250 0.750 0.500
P1 P 0.250 0.250 0.731
O1 O 0.250 0.750 0.000
# ΔE to the lowest computed polymorph	76	meV per atom
# spin magnetization	0.008	μB per formula unit

# GGA-PBE DyTmPO, optimized geometry
data_DyTmPO
_chemical_formula_sum 'Dy2 Tm2 P2 O2'
_space_group_name_H-M_alt 'P 4/n m m'
_space_group_IT_number 129
_cell_length_a 4.280
_cell_length_b 4.280
_cell_length_c 8.474
_cell_angle_alpha 90.00
_cell_angle_beta 90.00
_cell_angle_gamma 90.00
loop_
_space_group_symop_operation_xyz
'x,y,z'
'-x,-y,-z'
'-y+1/2,x,z'
'y+1/2,-x,-z'
'-x+1/2,-y+1/2,z'
'x+1/2,y+1/2,-z'
'y,-x+1/2,z'
'-y,x+1/2,-z'
'x+1/2,-y,-z'
'-x+1/2,y,z'
'-y,-x,-z'
'y,x,z'
'-x,y+1/2,-z'
'x,-y+1/2,z'
'y+1/2,x+1/2,-z'
'-y+1/2,-x+1/2,z'
loop_
_atom_site_label
_atom_site_type_symbol
_atom_site_fract_x
_atom_site_fract_y
_atom_site_fract_z
Dy1 Dy 0.250 0.250 0.105
Tm1 Tm 0.250 0.750 0.500
P1 P 0.250 0.250 0.694
O1 O 0.250 0.750 0.000
# ΔE to the lowest computed polymorph	87	meV per atom
# spin magnetization	0.000	μB per formula unit

# GGA-PBE DyTmPO, optimized geometry
data_DyTmPO
_chemical_formula_sum 'Dy2 Tm2 P2 O2'
_space_group_name_H-M_alt 'P m c 21'
_space_group_IT_number 26
_cell_length_a 4.134
_cell_length_b 7.377
_cell_length_c 5.688
_cell_angle_alpha 90.00
_cell_angle_beta 90.00
_cell_angle_gamma 90.00
loop_
_space_group_symop_operation_xyz
'x,y,z'
'-x,-y,z+1/2'
'-x,y,z'
'x,-y,z+1/2'
loop_
_atom_site_label
_atom_site_type_symbol
_atom_site_fract_x
_atom_site_fract_y
_atom_site_fract_z
Dy1 Dy 0.000 0.204 0.000
Tm1 Tm 0.500 0.380 0.562
P1 P 0.000 0.165 0.494
O1 O 0.500 0.332 0.943
# ΔE to the lowest computed polymorph	0	meV per atom
# spin magnetization	0.019	μB per formula unit

# GGA-PBE DyTmPO, optimized geometry
data_DyTmPO
_chemical_formula_sum 'Dy2 Tm2 P2 O2'
_space_group_name_H-M_alt 'P 4/n m m'
_space_group_IT_number 129
_cell_length_a 4.284
_cell_length_b 4.284
_cell_length_c 8.414
_cell_angle_alpha 90.00
_cell_angle_beta 90.00
_cell_angle_gamma 90.00
loop_
_space_group_symop_operation_xyz
'x,y,z'
'-x,-y,-z'
'-y+1/2,x,z'
'y+1/2,-x,-z'
'-x+1/2,-y+1/2,z'
'x+1/2,y+1/2,-z'
'y,-x+1/2,z'
'-y,x+1/2,-z'
'x+1/2,-y,-z'
'-x+1/2,y,z'
'-y,-x,-z'
'y,x,z'
'-x,y+1/2,-z'
'x,-y+1/2,z'
'y+1/2,x+1/2,-z'
'-y+1/2,-x+1/2,z'
loop_
_atom_site_label
_atom_site_type_symbol
_atom_site_fract_x
_atom_site_fract_y
_atom_site_fract_z
Dy1 Dy 0.250 0.750 0.000
Tm1 Tm 0.250 0.250 0.403
P1 P 0.250 0.250 0.799
O1 O 0.250 0.750 0.500
# ΔE to the lowest computed polymorph	138	meV per atom
# spin magnetization	0.004	μB per formula unit